Entry from the Alexandria database: Ba2U3Se8 after structural relaxation (PBE).

abc: 7.2707 8.5487 8.8859
angles: 118.75 106.53 90.00
Closest atoms and distances in Å follow each position.
Positions (direct):
Se  0.0382  0.3877  0.7755  2 U 2.79
Se  0.3962  0.3336  0.2147  2 U 2.82-2.83
Se  0.9051  0.1020  0.2040  3 U 2.86-2.92
Se  0.0949  0.8980  0.7960  3 U 2.86-2.92
Se  0.6038  0.6664  0.7853  2 U 2.82-2.83
Se  0.9618  0.6123  0.2245  2 U 2.79
Se  0.6038  0.1189  0.7853  2 U 2.82-2.83
Se  0.3962  0.8811  0.2147  2 U 2.82-2.83
U  0.0000  0.7436  0.0000  6 Se 2.79-2.92
U  0.0000  0.2564  0.0000  6 Se 2.79-2.92
U  0.5000  0.0000  0.0000  6 Se 2.82-2.86
Ba  0.6652  0.7302  0.4603  6 Se 3.25-3.36
Ba  0.3348  0.2698  0.5397  6 Se 3.25-3.36

formation energy without anion corrections = -1.43 eV/atom
excess energy over the best structure of this formula in the dataset = 0.0000 eV per atom
DOS(E_F) = 1.241 states/eV per atom


Entry from the Alexandria database: Ba3USe6 after structural relaxation (PBE).

abc: 8.9102 8.9102 8.9102
angles: 89.65 89.65 89.65
Closest atoms and distances in Å follow each position.
Positions (direct):
Se  0.9381  0.0755  0.2875  1 U 2.71
Se  0.7875  0.5755  0.4381  1 U 2.71
Se  0.2125  0.4245  0.5619  1 U 2.71
Se  0.0619  0.9245  0.7125  1 U 2.71
Se  0.4381  0.7875  0.5755  1 U 2.71
Se  0.5619  0.2125  0.4245  1 U 2.71
Se  0.9245  0.7125  0.0619  1 U 2.71
Se  0.0755  0.2875  0.9381  1 U 2.71
Se  0.7125  0.0619  0.9245  1 U 2.71
Se  0.5755  0.4381  0.7875  1 U 2.71
Se  0.4245  0.5619  0.2125  1 U 2.71
Se  0.2875  0.9381  0.0755  1 U 2.71
U  0.5000  0.5000  0.5000  6 Se 2.71
U  0.0000  0.0000  0.0000  6 Se 2.71
Ba  0.6177  0.8823  0.2500  8 Se 3.36-3.54
Ba  0.7500  0.3823  0.1177  8 Se 3.36-3.54
Ba  0.1177  0.7500  0.3823  8 Se 3.36-3.54
Ba  0.2500  0.6177  0.8823  8 Se 3.36-3.54
Ba  0.3823  0.1177  0.7500  8 Se 3.36-3.54
Ba  0.8823  0.2500  0.6177  8 Se 3.36-3.54

formation energy without anion corrections = -1.66 eV/atom
excess energy over the best structure of this formula in the dataset = 0.0000 eV per atom


Entry from the Alexandria database: Ba2U3Se8 after structural relaxation (PBE).

abc: 4.9730 10.1085 9.3028
angles: 122.90 90.00 90.00
Closest atoms and distances in Å follow each position.
Positions (direct):
Se  0.0000  0.8987  0.7974  4 U 2.95-3.21, 1 Se 3.17
Se  0.0000  0.6096  0.2193  2 U 2.84, 2 Ba 3.17
Se  0.5000  0.3408  0.2129  3 U 2.89-3.02
Se  0.5000  0.6592  0.7871  3 U 2.89-3.02
Se  0.0000  0.3904  0.7807  2 U 2.84, 2 Ba 3.17
Se  0.0000  0.1013  0.2026  4 U 2.95-3.21, 1 Se 3.17
Se  0.5000  0.1277  0.7869  3 U 2.89-3.02
Se  0.5000  0.8723  0.2131  3 U 2.89-3.02
Ba  0.5000  0.2644  0.5287  6 Se 3.17-3.42
Ba  0.5000  0.7356  0.4713  6 Se 3.17-3.42
U  0.0000  0.2757  0.9999  6 Se 2.84-3.02
U  0.5000  0.0000  0.0000  8 Se 2.89-2.95
U  0.0000  0.7243  0.0001  6 Se 2.84-3.02

formation energy without anion corrections = -1.37 eV/atom
excess energy over the best structure of this formula in the dataset = 0.0582 eV per atom
DOS(E_F) = 1.140 states/eV per atom


Entry from the Alexandria database: BaU2Se6 after structural relaxation (PBE).

abc: 6.8465 9.3778 9.3778
angles: 58.25 77.50 77.50
Closest atoms and distances in Å follow each position.
Positions (direct):
Se  0.7193  0.5522  0.0522  4 U 2.97-2.98, 2 Se 3.28, 1 Ba 3.30
Se  0.2807  0.4478  0.9478  4 U 2.97-2.98, 2 Se 3.28, 1 Ba 3.30
Se  0.3253  0.6913  0.5359  2 U 2.83-2.87, 1 Se 3.14
Se  0.6747  0.3087  0.4641  2 U 2.83-2.87, 1 Se 3.14
Se  0.2193  0.0522  0.5522  4 U 2.97-2.98, 2 Se 3.28, 1 Ba 3.30
Se  0.8253  0.5359  0.6913  2 U 2.83-2.87, 1 Se 3.14
Se  0.1747  0.4641  0.3087  2 U 2.83-2.87, 1 Se 3.14
Se  0.3254  0.0358  0.1914  2 U 2.83-2.87, 1 Se 3.14
Se  0.1746  0.8086  0.9642  2 U 2.83-2.87, 1 Se 3.14
Se  0.8254  0.1914  0.0358  2 U 2.83-2.87, 1 Se 3.14
Se  0.7807  0.9478  0.4478  4 U 2.97-2.98, 2 Se 3.28, 1 Ba 3.30
Se  0.6746  0.9642  0.8086  2 U 2.83-2.87, 1 Se 3.14
U  0.5001  0.2507  0.2492  8 Se 2.83-2.98
U  0.9999  0.7508  0.7493  8 Se 2.83-2.98
U  0.4999  0.7493  0.7508  8 Se 2.83-2.98
U  0.0001  0.2492  0.2507  8 Se 2.83-2.98
Ba  0.7500  0.7499  0.2501  10 Se 3.30-3.63
Ba  0.2500  0.2501  0.7499  10 Se 3.30-3.63

formation energy without anion corrections = -1.16 eV/atom
excess energy over the best structure of this formula in the dataset = 0.0439 eV per atom
DOS(E_F) = 0.773 states/eV per atom